Material: K3Os2
Method: DFT, PBE-GGA
State: relaxed

The value obtained for the total magnetization is 0.0000 μB per atom. The formation energy from the elements is 1.474 eV/atom. The value obtained for the calculated volume is 195 Å³ per cell. The density of states at the Fermi level comes out at 0.88 states/eV per atom.

a = 4.7481 Å, b = 4.7481 Å, c = 9.9961 Å
α = 90.00°, β = 90.00°, γ = 120.00°
Last column: nearest neighbours and their distance in Å.
Space group P-3m1 (No. 164)
Asymmetric unit:
K 0.0000 0.0000 0.0000 (multiplicity 1)  6 Os 2.75
K 0.3333 0.6667 0.2984 (multiplicity 2)  1 Os 3.16
Os 0.3333 0.6667 0.9827 (multiplicity 2)  3 K 2.75, 3 Os 2.76

=====

Material: MgMnRe2Pb
Method: DFT, PBE-GGA
State: relaxed

The value obtained for the total magnetization is 1.4237 μB per atom. The formation energy from the elements is 2.341 eV/atom. The value obtained for the calculated volume is 127 Å³ per cell. The density of states at the Fermi level comes out at 0.73 states/eV per atom.

a = 5.0705 Å, b = 5.0705 Å, c = 4.9397 Å
α = 90.00°, β = 90.00°, γ = 90.00°
Last column: nearest neighbours and their distance in Å.
Space group P4/mmm (No. 123)
Asymmetric unit:
Mg 0.0000 0.0000 0.0000 (multiplicity 1)  8 Re 3.54, 4 Mn 3.59
Mn 0.5000 0.5000 0.0000 (multiplicity 1)  2 Pb 2.47
Re 0.0000 0.5000 0.5000 (multiplicity 2)  2 Pb 2.54
Pb 0.5000 0.5000 0.5000 (multiplicity 1)  2 Mn 2.47, 4 Re 2.54

=====

Material: BaCa2GaRu
Method: DFT, PBE-GGA
State: relaxed

The value obtained for the total magnetization is 0.0000 μB per atom. The distance to the lowest polymorph of the same formula comes out at 0 meV/atom. The formation energy from the elements is -0.059 eV/atom. The value obtained for the calculated volume is 154 Å³ per cell. The density of states at the Fermi level comes out at 0.87 states/eV per atom.

a = 5.5185 Å, b = 5.5185 Å, c = 5.0486 Å
α = 90.00°, β = 90.00°, γ = 90.00°
Last column: nearest neighbours and their distance in Å.
Space group P4/mmm (No. 123)
Asymmetric unit:
Ba 0.0000 0.0000 0.0000 (multiplicity 1)  8 Ca 3.74, 4 Ga 3.90
Ca 0.0000 0.5000 0.5000 (multiplicity 2)  2 Ru 2.76
Ga 0.5000 0.5000 0.0000 (multiplicity 1)  2 Ru 2.52
Ru 0.5000 0.5000 0.5000 (multiplicity 1)  2 Ga 2.52, 4 Ca 2.76

=====

> The highest formation energy from the elements belongs to which entry?

MgMnRe2Pb

=====

> calculated volume of number 1 (K3Os2)?

195 Å³ per cell

=====

> formation energy from the elements of number 2 (MgMnRe2Pb)?

2.341 eV/atom